1.
First-principles (PBE) data for Ho2CoAu after structural relaxation, as listed in Alexandria.

- crystal system = tetragonal
- N(E_F) (states/eV/cell) = 3.33
- formation energy (eV per atom) = -0.51
- space-group type = No. 123
- size of the total moment (μB per formula unit) = 0.83

Unit cell a=3.414 b=3.414 c=7.147 alpha=90.00 beta=90.00 gamma=90.00
Last column: magnetic moment on the atom in μB.
Fractional positions:
Co 0.500 0.500 0.000  0.95
Au 0.500 0.500 0.500  0.04
Ho 0.000 0.000 0.770  -0.08
Ho 0.000 0.000 0.230  -0.08

2.
First-principles (PBE) data for U3Co5Te12 after structural relaxation, as listed in Alexandria.

- E_form (uncorrected) (eV per atom) = -0.20
- crystal system = cubic
- N(E_F) (states/eV/cell) = 129.32
- space-group type = No. 230
- size of the total moment (μB per formula unit) = 10.53

Unit cell a=14.038 b=14.038 c=14.038 alpha=109.47 beta=109.47 gamma=109.47
Last column: magnetic moment on the atom in μB.
Fractional positions:
U 0.750 0.375 0.125  2.27
U 0.875 0.750 0.125  2.27
U 0.375 0.750 0.625  2.27
U 0.250 0.125 0.375  2.27
U 0.875 0.125 0.250  2.27
U 0.375 0.625 0.250  2.27
U 0.625 0.375 0.750  2.27
U 0.125 0.875 0.750  2.27
U 0.750 0.875 0.625  2.27
U 0.625 0.250 0.375  2.27
U 0.125 0.250 0.875  2.27
U 0.250 0.625 0.875  2.27
Co 0.125 0.375 0.250  1.14
Co 0.000 0.500 0.000  -0.06
Co 0.000 0.000 0.000  -0.06
Co 0.375 0.250 0.125  1.14
Co 0.500 0.000 0.500  -0.06
Co 0.500 0.500 0.000  -0.06
Co 0.125 0.750 0.375  1.14
Co 0.750 0.125 0.875  1.14
Co 0.750 0.625 0.375  1.14
Co 0.375 0.125 0.750  1.14
Co 0.625 0.875 0.250  1.14
Co 0.500 0.500 0.500  -0.06
Co 0.500 0.000 0.000  -0.06
Co 0.000 0.000 0.500  -0.06
Co 0.250 0.375 0.625  1.14
Co 0.250 0.875 0.125  1.14
Co 0.000 0.500 0.500  -0.06
Co 0.875 0.250 0.625  1.14
Co 0.625 0.750 0.875  1.14
Co 0.875 0.625 0.750  1.14
Te 0.704 0.115 0.027  -0.02
Te 0.323 0.527 0.412  -0.02
Te 0.973 0.385 0.296  -0.02
Te 0.527 0.204 0.115  -0.02
Te 0.589 0.704 0.677  -0.02
Te 0.973 0.588 0.177  -0.02
Te 0.323 0.796 0.411  -0.02
Te 0.088 0.911 0.115  -0.02
Te 0.588 0.973 0.677  -0.02
Te 0.704 0.589 0.177  -0.02
Te 0.796 0.473 0.385  -0.02
Te 0.823 0.912 0.027  -0.02
Te 0.115 0.704 0.527  -0.02
Te 0.385 0.412 0.089  -0.02
Te 0.089 0.912 0.385  -0.02
Te 0.411 0.115 0.588  -0.02
Te 0.089 0.177 0.204  -0.02
Te 0.473 0.677 0.088  -0.02
Te 0.823 0.911 0.296  -0.02
Te 0.115 0.411 0.088  -0.02
Te 0.385 0.973 0.796  -0.02
Te 0.588 0.615 0.411  -0.02
Te 0.912 0.823 0.527  -0.02
Te 0.796 0.323 0.911  -0.02
Te 0.412 0.385 0.589  -0.02
Te 0.088 0.177 0.473  -0.02
Te 0.204 0.677 0.089  -0.02
Te 0.177 0.089 0.704  -0.02
Te 0.615 0.027 0.204  -0.02
Te 0.885 0.589 0.912  -0.02
Te 0.527 0.323 0.912  -0.02
Te 0.589 0.885 0.412  -0.02
Te 0.911 0.823 0.796  -0.02
Te 0.911 0.088 0.615  -0.02
Te 0.885 0.296 0.473  -0.02
Te 0.177 0.088 0.973  -0.02
Te 0.615 0.588 0.911  -0.02
Te 0.412 0.027 0.323  -0.02
Te 0.296 0.411 0.823  -0.02
Te 0.204 0.527 0.615  -0.02
Te 0.912 0.089 0.885  -0.02
Te 0.677 0.204 0.589  -0.02
Te 0.473 0.796 0.885  -0.02
Te 0.027 0.412 0.823  -0.02
Te 0.411 0.296 0.323  -0.02
Te 0.027 0.615 0.704  -0.02
Te 0.677 0.473 0.588  -0.02
Te 0.296 0.885 0.973  -0.02

3.
First-principles (PBE) data for YbGa2Ni after structural relaxation, as listed in Alexandria.

- crystal system = monoclinic
- N(E_F) (states/eV/cell) = 3.16
- formation energy (eV per atom) = -0.60
- space-group type = No. 11
- size of the total moment (μB per formula unit) = 0.00

Unit cell a=4.085 b=5.194 c=7.049 alpha=90.00 beta=90.00 gamma=113.02
Fractional positions:
Ni 0.785 0.569 0.750
Ni 0.215 0.431 0.250
Yb 0.064 0.127 0.750
Yb 0.936 0.873 0.250
Ga 0.348 0.696 0.945
Ga 0.348 0.696 0.555
Ga 0.652 0.304 0.055
Ga 0.652 0.304 0.445

4.
First-principles (PBE) data for RbTiTcSe2 after structural relaxation, as listed in Alexandria.

- E_form (uncorrected) (eV per atom) = 0.84
- crystal system = tetragonal
- N(E_F) (states/eV/cell) = 4.71
- space-group type = No. 123
- size of the total moment (μB per formula unit) = 4.39

Unit cell a=5.005 b=5.427 c=5.005 alpha=90.00 beta=90.00 gamma=90.00
Last column: magnetic moment on the atom in μB.
Fractional positions:
Se 0.000 0.000 0.500  0.04
Se 0.500 0.000 0.000  0.00
Tc 0.000 0.000 0.000  -1.26
Rb 0.000 0.500 0.000  -0.06
Ti 0.500 0.500 0.500  -2.15

5.
First-principles (PBE) data for MnNi4Sb after structural relaxation, as listed in Alexandria.

- E_form (uncorrected) (eV per atom) = -0.01
- energy relative to the lowest polymorph listed for this composition (eV per atom) = 0.094
- crystal system = cubic
- N(E_F) (states/eV/cell) = 4.45
- space-group type = No. 216
- size of the total moment (μB per formula unit) = 4.49

Unit cell a=4.808 b=4.808 c=4.808 alpha=60.00 beta=60.00 gamma=60.00
Last column: magnetic moment on the atom in μB.
Fractional positions:
Mn 0.000 0.000 0.000  3.67
Ni 0.877 0.374 0.374  0.22
Ni 0.374 0.374 0.877  0.22
Ni 0.374 0.877 0.374  0.22
Ni 0.374 0.374 0.374  0.22
Sb 0.750 0.750 0.750  -0.03

6.
First-principles (PBE) data for NbCo2HRu after structural relaxation, as listed in Alexandria.

- energy relative to the lowest polymorph listed for this composition (eV per atom) = 0.055
- crystal system = tetragonal
- N(E_F) (states/eV/cell) = 3.80
- space-group type = No. 123
- size of the total moment (μB per formula unit) = 0.00

Unit cell a=3.696 b=3.696 c=3.986 alpha=90.00 beta=90.00 gamma=90.00
Fractional positions:
Ru 0.500 0.500 0.500
Nb 0.000 0.000 0.500
Co 0.000 0.500 0.000
Co 0.500 0.000 0.000
H 0.000 0.000 0.000

7.
First-principles (PBE) data for PmDySb2Rh5 after structural relaxation, as listed in Alexandria.

- E_form (uncorrected) (eV per atom) = -0.53
- crystal system = tetragonal
- N(E_F) (states/eV/cell) = 5.75
- space-group type = No. 123
- size of the total moment (μB per formula unit) = 0.00

Unit cell a=4.459 b=4.459 c=8.983 alpha=90.00 beta=90.00 gamma=90.00
Fractional positions:
Pm 0.000 0.000 0.500
Dy 0.000 0.000 0.000
Sb 0.500 0.500 0.157
Sb 0.500 0.500 0.843
Rh 0.000 0.500 0.284
Rh 0.500 0.000 0.284
Rh 0.000 0.500 0.716
Rh 0.500 0.000 0.716
Rh 0.500 0.500 0.500

8.
First-principles (PBE) data for LiCu3Pd7 after structural relaxation, as listed in Alexandria.

- crystal system = orthorhombic
- N(E_F) (states/eV/cell) = 14.75
- formation energy (eV per atom) = 0.06
- space-group type = No. 71
- size of the total moment (μB per formula unit) = 0.00

Unit cell a=4.525 b=6.495 c=6.495 alpha=89.95 beta=110.36 gamma=110.36
Fractional positions:
Li 0.500 0.500 0.500
Cu 0.000 0.775 0.225
Cu 0.500 0.000 0.000
Cu 0.000 0.225 0.775
Pd 0.190 0.189 0.189
Pd 0.324 0.044 0.605
Pd 0.676 0.395 0.956
Pd 0.324 0.605 0.044
Pd 0.000 0.500 0.500
Pd 0.676 0.956 0.395
Pd 0.810 0.811 0.811